# GGA-PBE IrC2, optimized geometry
# Total energy (eV/atom): -8.124
# Magnetization (μB/f.u.): 0.00
data_IrC2
_chemical_formula_sum 'Ir2 C4'
_cell_length_a 2.7327
_cell_length_b 4.1679
_cell_length_c 5.5842
_cell_angle_alpha 90.00
_cell_angle_beta 90.00
_cell_angle_gamma 90.00
_symmetry_space_group_name_H-M 'I m m 2'
_symmetry_Int_Tables_number 44
_symmetry_space_group_name_Hall 'I 2 -2'
loop_
_atom_site_label
_atom_site_type_symbol
_atom_site_fract_x
_atom_site_fract_y
_atom_site_fract_z
Ir1 Ir 0.0000 0.0000 0.0000
C1 C 0.0000 0.1678 0.3719

---

# GGA-PBE Tm2Ga5Co2Ru, optimized geometry
# Total energy (eV/atom): -5.147
# Magnetization (μB/f.u.): 0.00
data_Tm2Ga5Co2Ru
_chemical_formula_sum 'Tm4 Ga10 Co4 Ru2'
_cell_length_a 8.9984
_cell_length_b 8.9984
_cell_length_c 3.9701
_cell_angle_alpha 90.00
_cell_angle_beta 90.00
_cell_angle_gamma 90.00
_symmetry_space_group_name_H-M 'P 4/m b m'
_symmetry_Int_Tables_number 127
_symmetry_space_group_name_Hall '-P 4 2ab'
loop_
_atom_site_label
_atom_site_type_symbol
_atom_site_fract_x
_atom_site_fract_y
_atom_site_fract_z
Tm1 Tm 0.1795 0.3205 0.0000
Ga1 Ga 0.0000 0.5000 0.5000
Ga2 Ga 0.0605 0.7964 0.5000
Co1 Co 0.1157 0.6157 0.0000
Ru1 Ru 0.0000 0.0000 0.0000